RbPuUS4 PBE relaxed; uncorrected formation energy = -1.419 eV per atom; mass density = 5.29 g/cm3
1.0
-4.187 4.338 6.013
4.187 -4.338 6.013
4.187 4.338 -6.013
Rb Pu U S
2 2 2 8
direct
0.378 0.128 0.250
0.622 0.872 0.750
0.000 0.500 0.500
0.500 0.500 0.000
0.000 0.000 0.500
0.000 0.500 0.000
0.184 0.734 0.449
0.215 0.266 0.949
0.221 0.260 0.539
0.221 0.682 0.961
0.779 0.318 0.039
0.779 0.740 0.461
0.785 0.734 0.051
0.816 0.266 0.551